# 1
The following is a GGA-PBE calculation of V2GaAu after structural relaxation, from Alexandria via LeMat-Bulk.

Cell: 2.787 2.787 9.127 Å, 81.32 81.32 60.26°
Fractional positions:
V  0.081  0.081  0.757
V  0.251  0.251  0.243
Ga  0.666  0.666  0.000
Au  0.501  0.501  0.500

Output
DFT total energy   -6.046 eV/atom
Formation energy from the elements   0.089 eV/atom
Magnetic moment   0.0 Bohr magnetons per cell

=====

# 2
The following is a GGA-PBE calculation of Sr2Ca2Ac2Ir after structural relaxation, from Alexandria via LeMat-Bulk.

Cell: 4.323 8.423 8.996 Å, 76.47 76.12 90.00°
Fractional positions:
Sr  0.166  0.586  0.668
Sr  0.834  0.414  0.332
Ca  0.169  0.082  0.663
Ca  0.831  0.918  0.337
Ac  0.501  0.233  0.998
Ac  0.499  0.767  0.002
Ir  0.000  0.000  0.000

Output
DFT total energy   -3.744 eV/atom
Formation energy from the elements   -0.252 eV/atom
Magnetic moment   0.0 Bohr magnetons per cell

=====

# 3
The following is a GGA-PBE calculation of Al3AsCl after structural relaxation, from Alexandria via LeMat-Bulk.

Cell: 5.165 5.165 5.165 Å, 90.00 90.00 90.00°
Fractional positions:
As  0.000  0.000  0.000
Al  0.000  0.500  0.000
Al  0.000  0.000  0.500
Al  0.500  0.000  0.000
Cl  0.500  0.500  0.500

Output
DFT total energy   -3.110 eV/atom
Energy relative to the elements, uncorrected   210 kJ/mol of formula units
Magnetic moment   0.0 Bohr magnetons per cell

=====

# 4
The following is a GGA-PBE calculation of SnMoBr2 after structural relaxation, from Alexandria via LeMat-Bulk.

Cell: 11.804 11.804 11.804 Å, 16.08 16.08 16.08°
Fractional positions:
Mo  0.500  0.500  0.500
Sn  0.000  0.000  0.000
Br  0.885  0.885  0.885
Br  0.115  0.115  0.115

Output
DFT total energy   -4.456 eV/atom
Energy relative to the elements, uncorrected   34 kJ/mol of formula units
Magnetic moment   0.0 Bohr magnetons per cell